Compound: HfNiHgAs
Source: OQMD via LeMat-Bulk
Functional: PBE
Structure: relaxed

Polymorph energy (0 for the lowest one)   160.1 meV per atom
M_tot   0.00 μB per formula unit
Symmetry   No. 216

a b c (Å): 4.6956 4.6956 4.6956
angles (deg): 60.00 60.00 60.00
With the nearest neighbours (Å) after each atom.
Element x y z (fractional)
Hf (0.5000, 0.5000, 0.5000)  4 Ni 2.88, 4 Hg 2.88
Hg (0.2500, 0.2500, 0.2500)  4 Hf 2.88, 4 As 2.88
Ni (0.7500, 0.7500, 0.7500)  4 Hf 2.88, 4 As 2.88
As (0.0000, 0.0000, 0.0000)  4 Ni 2.88, 4 Hg 2.88



Compound: HfHgAsO
Source: OQMD via LeMat-Bulk
Functional: PBE
Structure: relaxed

Polymorph energy (0 for the lowest one)   0.0 meV per atom
M_tot   0.00 μB per formula unit
Symmetry   No. 26

a b c (Å): 4.1037 8.8056 5.7442
angles (deg): 90.00 90.00 90.00
With the nearest neighbours (Å) after each atom.
Element x y z (fractional)
As (0.0000, 0.1832, 0.9424)  2 Hf 2.64, 2 Hg 2.83-2.92
As (0.0000, 0.8168, 0.4424)  2 Hf 2.64, 2 Hg 2.83-2.92
Hf (0.5000, 0.3628, 0.0304)  2 O 1.92-1.93
O (0.5000, 0.5376, 0.8302)  2 Hf 1.92-1.93
Hg (0.0000, 0.8312, 0.9509)  3 As 2.83-3.10
Hg (0.0000, 0.1688, 0.4509)  3 As 2.83-3.10
O (0.5000, 0.4624, 0.3302)  2 Hf 1.92-1.93
Hf (0.5000, 0.6372, 0.5304)  2 O 1.92-1.93



Compound: HfHgAsO
Source: OQMD via LeMat-Bulk
Functional: PBE
Structure: relaxed

Polymorph energy (0 for the lowest one)   114.3 meV per atom
M_tot   0.00 μB per formula unit
Symmetry   No. 129

a b c (Å): 3.7054 3.7054 10.9412
angles (deg): 90.00 90.00 90.00
With the nearest neighbours (Å) after each atom.
Element x y z (fractional)
As (0.0000, 0.5000, 0.2375)  4 Hf 2.99, 4 O 3.19
Hg (0.0000, 0.0000, 0.5000)  4 Hg 2.62
Hg (0.5000, 0.5000, 0.5000)  4 Hg 2.62
As (0.5000, 0.0000, 0.7625)  4 Hf 2.99, 4 O 3.19
O (0.5000, 0.5000, 0.0000)  4 Hf 2.19
Hf (0.0000, 0.5000, 0.8939)  4 O 2.19
Hf (0.5000, 0.0000, 0.1061)  4 O 2.19
O (0.0000, 0.0000, 0.0000)  4 Hf 2.19



Compound: HfHgAsO
Source: OQMD via LeMat-Bulk
Functional: PBE
Structure: relaxed

Polymorph energy (0 for the lowest one)   231.2 meV per atom
M_tot   0.00 μB per formula unit
Symmetry   No. 26

a b c (Å): 4.0192 7.2590 5.5136
angles (deg): 90.00 90.00 90.00
With the nearest neighbours (Å) after each atom.
Element x y z (fractional)
Hf (0.0000, 0.8198, 0.9315)  2 O 2.01
Hg (0.5000, 0.4306, 0.9564)  2 As 2.65, 2 Hg 2.93, 1 O 2.97
O (0.5000, 0.1609, 0.4349)  2 Hf 2.01
Hg (0.5000, 0.5694, 0.4564)  2 As 2.65, 2 Hg 2.93, 1 O 2.97
As (0.0000, 0.8072, 0.4311)  2 Hg 2.65, 3 Hf 2.71-2.76
O (0.5000, 0.8391, 0.9349)  2 Hf 2.01
Hf (0.0000, 0.1802, 0.4315)  2 O 2.01
As (0.0000, 0.1928, 0.9311)  2 Hg 2.65, 3 Hf 2.71-2.76



Compound: HfHgAsO
Source: OQMD via LeMat-Bulk
Functional: PBE
Structure: relaxed

Polymorph energy (0 for the lowest one)   666.2 meV per atom
M_tot   0.00 μB per formula unit
Symmetry   No. 129

a b c (Å): 5.4004 5.4004 4.8647
angles (deg): 90.00 90.00 90.00
With the nearest neighbours (Å) after each atom.
Element x y z (fractional)
Hg (0.5000, 0.0000, 0.1205)  2 As 2.41-2.46
Hf (0.5000, 0.5000, 0.5000)  2 O 2.43
O (0.0000, 0.0000, 0.0000)  2 Hf 2.43
O (0.5000, 0.5000, 0.0000)  2 Hf 2.43
Hf (0.0000, 0.0000, 0.5000)  2 O 2.43
As (0.5000, 0.0000, 0.6253)  2 Hg 2.41-2.46
Hg (0.0000, 0.5000, 0.8795)  2 As 2.41-2.46
As (0.0000, 0.5000, 0.3747)  2 Hg 2.41-2.46



Compound: HoHf6As2
Source: OQMD via LeMat-Bulk
Functional: PBE
Structure: relaxed

M_tot   0.00 μB per formula unit
Symmetry   No. 189
Uncorrected energy   -8.40 eV/atom

a b c (Å): 7.4770 7.4770 3.8867
angles (deg): 90.00 90.00 120.00
With the nearest neighbours (Å) after each atom.
Element x y z (fractional)
Ho (0.0000, 0.0000, 0.0000)  6 Hf 2.78
As (0.6667, 0.3333, 0.5000)  9 Hf 2.78-2.97
Hf (0.0000, 0.2652, 0.5000)  2 Ho 2.78, 2 As 2.78, 2 Hf 3.07
Hf (0.2652, 0.0000, 0.5000)  2 Ho 2.78, 2 As 2.78, 2 Hf 3.07
Hf (0.4171, 0.4171, 0.0000)  4 As 2.97, 2 Hf 3.07, 1 Ho 3.12
Hf (0.0000, 0.5829, 0.0000)  4 As 2.97, 2 Hf 3.07, 1 Ho 3.12
Hf (0.7348, 0.7348, 0.5000)  2 Ho 2.78, 2 As 2.78, 2 Hf 3.07
As (0.3333, 0.6667, 0.5000)  9 Hf 2.78-2.97
Hf (0.5829, 0.0000, 0.0000)  4 As 2.97, 2 Hf 3.07, 1 Ho 3.12



Repeat the third record exactly.
Compound: HfHgAsO
Source: OQMD via LeMat-Bulk
Functional: PBE
Structure: relaxed

Polymorph energy (0 for the lowest one)   114.3 meV per atom
M_tot   0.00 μB per formula unit
Symmetry   No. 129

a b c (Å): 3.7054 3.7054 10.9412
angles (deg): 90.00 90.00 90.00
With the nearest neighbours (Å) after each atom.
Element x y z (fractional)
As (0.0000, 0.5000, 0.2375)  4 Hf 2.99, 4 O 3.19
Hg (0.0000, 0.0000, 0.5000)  4 Hg 2.62
Hg (0.5000, 0.5000, 0.5000)  4 Hg 2.62
As (0.5000, 0.0000, 0.7625)  4 Hf 2.99, 4 O 3.19
O (0.5000, 0.5000, 0.0000)  4 Hf 2.19
Hf (0.0000, 0.5000, 0.8939)  4 O 2.19
Hf (0.5000, 0.0000, 0.1061)  4 O 2.19
O (0.0000, 0.0000, 0.0000)  4 Hf 2.19